1.
DFT (GGA-PBE) results for an optimized crystal structure of KSrBr2.

Lattice parameters (Å, degrees): 4.5787 4.5787 9.3532 90.00 90.00 122.67
Last column: nearest neighbours and their distance in Å.
Fractional coordinates of all 4 atoms:
K  0.0000  0.0000  0.0000  4 Br 3.21
Sr  0.0000  0.0000  0.5000  4 Br 3.21
Br  0.5000  0.5000  0.2496  2 K 3.21, 2 Sr 3.21
Br  0.5000  0.5000  0.7504  2 K 3.21, 2 Sr 3.21

Output
For the total magnetic moment, the calculation gives 0.44 μB per cell. The calculation puts the uncorrected formation energy at -563 kJ/mol of formula units. The space group is No. 65. The distance to the lowest polymorph of the same formula comes out at 88 meV per atom.

2.
DFT (GGA-PBE) results for an optimized crystal structure of MgAgTe.

Lattice parameters (Å, degrees): 4.7802 4.7802 4.7802 60.00 60.00 60.00
Last column: nearest neighbours and their distance in Å.
Fractional coordinates of all 3 atoms:
Mg  0.0000  0.0000  0.0000  4 Te 2.93, 4 Ag 2.93
Ag  0.7500  0.7500  0.7500  4 Mg 2.93
Te  0.2500  0.2500  0.2500  4 Mg 2.93

Output
For the total magnetic moment, the calculation gives 0.00 μB per cell. The calculation puts the uncorrected formation energy at -52 kJ/mol of formula units. The space group is No. 216. The distance to the lowest polymorph of the same formula comes out at 25 meV per atom.